The following is a GGA-PBEsol calculation of crystalline GaGeSbPd2 at its relaxed geometry, from Alexandria.

The structure in extended XYZ format:
```
5
Lattice="4.919 0.000 0.000 0.000 4.919 0.000 0.000 0.000 5.225" Properties=species:S:1:pos:R:3 pbc="T T T"
Ga 0.000 0.000 0.000
Ge 2.460 2.460 0.000
Sb 2.460 2.460 2.613
Pd 0.000 2.460 2.613
Pd 2.460 0.000 2.613
```

Crystal system: tetragonal
Formation energy without anion corrections: 0.592 eV/atom
Symmetry: P4/mmm (123)


The following is a GGA-PBEsol calculation of crystalline Ga3GePt8 at its relaxed geometry, from Alexandria.

The structure in extended XYZ format:
```
12
Lattice="5.517 0.000 0.000 0.000 4.058 0.000 -0.062 0.000 7.912" Properties=species:S:1:pos:R:3 pbc="T T T"
Ga 0.000 0.000 0.000
Ga 0.491 2.029 4.018
Ga 2.666 0.000 5.682
Ge 3.276 2.029 1.720
Pt 0.796 2.029 1.451
Pt 1.303 2.029 6.470
Pt 1.822 0.000 3.252
Pt 2.505 0.000 0.336
Pt 3.477 2.029 4.264
Pt 4.060 2.029 7.185
Pt 4.610 0.000 2.436
Pt 5.183 0.000 5.377
```

Energy of formation: -6.11 eV per formula unit
Crystal system: monoclinic
Symmetry: Pm (6)


The following is a GGA-PBEsol calculation of crystalline GaSi2GeRh at its relaxed geometry, from Alexandria.

The structure in extended XYZ format:
```
5
Lattice="4.573 0.000 0.000 0.000 4.573 0.000 0.000 0.000 4.767" Properties=species:S:1:pos:R:3 pbc="T T T"
Ga 0.000 0.000 0.000
Si 0.000 2.287 2.383
Si 2.287 0.000 2.383
Ge 2.287 2.287 0.000
Rh 2.287 2.287 2.383
```

Crystal system: tetragonal
Formation energy without anion corrections: 0.310 eV/atom
Symmetry: P4/mmm (123)


The following is a GGA-PBEsol calculation of crystalline V8GaGeS16 at its relaxed geometry, from Alexandria.

The structure in extended XYZ format:
```
26
Lattice="6.714 0.000 0.000 0.000 6.714 0.000 0.000 0.000 9.504" Properties=species:S:1:pos:R:3 pbc="T T T"
V 0.000 1.377 0.985
V 0.000 5.337 0.985
V 1.377 0.000 8.519
V 1.966 3.357 3.779
V 3.357 1.966 5.726
V 3.357 4.749 5.726
V 4.749 3.357 3.779
V 5.337 0.000 8.519
Ga 0.000 0.000 4.752
Ge 3.357 3.357 0.000
S 0.000 1.760 8.261
S 0.000 1.852 3.436
S 0.000 4.862 3.436
S 0.000 4.954 8.261
S 1.522 3.357 1.299
S 1.598 3.357 5.996
S 1.760 0.000 1.243
S 1.852 0.000 6.068
S 3.357 1.522 8.205
S 3.357 1.598 3.509
S 3.357 5.117 3.509
S 3.357 5.192 8.205
S 4.862 0.000 6.068
S 4.954 0.000 1.243
S 5.117 3.357 5.996
S 5.192 3.357 1.299
```

Crystal system: tetragonal
Formation energy without anion corrections: -0.959 eV/atom
Symmetry: P-4m2 (115)


The following is a GGA-PBEsol calculation of crystalline Ga2GeSb2 at its relaxed geometry, from Alexandria.

The structure in extended XYZ format:
```
10
Lattice="3.711 0.000 0.000 0.000 3.711 0.000 0.000 0.000 16.208" Properties=species:S:1:pos:R:3 pbc="T T T"
Ga 0.000 1.855 4.052
Ga 0.000 1.855 12.156
Ga 1.855 0.000 4.052
Ga 1.855 0.000 12.156
Ge 0.000 0.000 0.000
Ge 1.855 1.855 8.104
Sb 0.000 0.000 6.531
Sb 0.000 0.000 9.677
Sb 1.855 1.855 1.573
Sb 1.855 1.855 14.635
```

Crystal system: tetragonal
Formation energy without anion corrections: 0.165 eV/atom
Symmetry: I4/mmm (139)


The following is a GGA-PBEsol calculation of crystalline GaGe2Sb at its relaxed geometry, from Alexandria.

The structure in extended XYZ format:
```
16
Lattice="5.898 0.000 0.000 0.000 5.898 0.000 0.000 0.000 11.855" Properties=species:S:1:pos:R:3 pbc="T T T"
Ga 0.000 0.000 0.000
Ga 0.000 2.949 2.964
Ga 2.949 0.000 8.891
Ga 2.949 2.949 5.927
Ge 1.297 1.474 1.482
Ge 1.474 4.246 4.445
Ge 1.474 4.601 10.373
Ge 1.652 1.474 7.409
Ge 4.246 4.423 7.409
Ge 4.423 1.297 10.373
Ge 4.423 1.652 4.445
Ge 4.601 4.423 1.482
Sb 0.000 0.000 5.927
Sb 0.000 2.949 8.891
Sb 2.949 0.000 2.964
Sb 2.949 2.949 0.000
```

Crystal system: tetragonal
Formation energy without anion corrections: 0.032 eV/atom
Symmetry: I-42d (122)


The following is a GGA-PBEsol calculation of crystalline YGa2GeSb at its relaxed geometry, from Alexandria.

The structure in extended XYZ format:
```
5
Lattice="4.747 0.000 0.000 0.000 4.747 0.000 0.000 0.000 5.574" Properties=species:S:1:pos:R:3 pbc="T T T"
Y 0.000 0.000 0.000
Ga 0.000 2.373 2.787
Ga 2.373 0.000 2.787
Ge 2.373 2.373 2.787
Sb 2.373 2.373 0.000
```

Crystal system: tetragonal
Formation energy without anion corrections: 0.121 eV/atom
Symmetry: P4/mmm (123)


The following is a GGA-PBEsol calculation of crystalline ScGa2Ge2 at its relaxed geometry, from Alexandria.

The structure in extended XYZ format:
```
10
Lattice="3.733 0.000 0.000 0.000 3.733 0.000 0.000 0.000 13.474" Properties=species:S:1:pos:R:3 pbc="T T T"
Sc 0.000 0.000 0.000
Sc 1.866 1.866 6.737
Ga 0.000 1.866 3.368
Ga 0.000 1.866 10.105
Ga 1.866 0.000 3.368
Ga 1.866 0.000 10.105
Ge 0.000 0.000 5.469
Ge 0.000 0.000 8.004
Ge 1.866 1.866 1.267
Ge 1.866 1.866 12.206
```

Energy of formation: -0.84 eV per formula unit
Crystal system: tetragonal
Symmetry: I4/mmm (139)


The following is a GGA-PBEsol calculation of crystalline GaSn2Ge at its relaxed geometry, from Alexandria.

The structure in extended XYZ format:
```
16
Lattice="7.071 0.000 0.000 0.000 7.071 0.000 0.000 0.000 7.071" Properties=species:S:1:pos:R:3 pbc="T T T"
Ga 0.000 0.000 0.000
Ga 0.000 3.536 3.536
Ga 3.536 0.000 3.536
Ga 3.536 3.536 0.000
Sn 1.768 1.768 1.768
Sn 1.768 1.768 5.303
Sn 1.768 5.303 1.768
Sn 1.768 5.303 5.303
Sn 5.303 1.768 1.768
Sn 5.303 1.768 5.303
Sn 5.303 5.303 1.768
Sn 5.303 5.303 5.303
Ge 0.000 0.000 3.536
Ge 0.000 3.536 0.000
Ge 3.536 0.000 0.000
Ge 3.536 3.536 3.536
```

Energy of formation: 0.43 eV per formula unit
Crystal system: cubic
Symmetry: Fm-3m (225)


The following is a GGA-PBEsol calculation of crystalline GaSn2Ge at its relaxed geometry, from Alexandria.

The structure in extended XYZ format:
```
16
Lattice="6.168 0.000 0.000 0.000 6.168 0.000 0.000 0.000 12.019" Properties=species:S:1:pos:R:3 pbc="T T T"
Ga 0.000 0.000 0.000
Ga 0.000 3.084 3.005
Ga 3.084 0.000 9.014
Ga 3.084 3.084 6.009
Sn 1.541 1.542 1.502
Sn 1.543 1.542 7.512
Sn 1.542 4.625 4.507
Sn 1.542 4.627 10.516
Sn 4.626 1.543 4.507
Sn 4.626 1.541 10.516
Sn 4.627 4.626 1.502
Sn 4.625 4.626 7.512
Ge 0.000 0.000 6.009
Ge 0.000 3.084 9.014
Ge 3.084 0.000 3.005
Ge 3.084 3.084 0.000
```

Energy of formation: 0.43 eV per formula unit
Crystal system: tetragonal
Symmetry: I-42d (122)


The following is a GGA-PBEsol calculation of crystalline GaSnGe2 at its relaxed geometry, from Alexandria.

The structure in extended XYZ format:
```
16
Lattice="5.872 0.000 0.000 0.000 5.872 0.000 0.000 0.000 11.844" Properties=species:S:1:pos:R:3 pbc="T T T"
Ga 0.000 0.000 0.000
Ga 0.000 2.936 2.961
Ga 2.936 0.000 8.883
Ga 2.936 2.936 5.922
Sn 0.000 0.000 5.922
Sn 0.000 2.936 8.883
Sn 2.936 0.000 2.961
Sn 2.936 2.936 0.000
Ge 1.311 1.468 1.481
Ge 1.468 4.247 4.442
Ge 1.468 4.561 10.364
Ge 1.625 1.468 7.403
Ge 4.247 4.404 7.403
Ge 4.404 1.311 10.364
Ge 4.404 1.625 4.442
Ge 4.561 4.404 1.481
```

Energy of formation: 0.40 eV per formula unit
Crystal system: tetragonal
Symmetry: I-42d (122)


The following is a GGA-PBEsol calculation of crystalline SrGaGe at its relaxed geometry, from Alexandria.

The structure in extended XYZ format:
```
12
Lattice="4.250 0.000 0.000 -2.125 3.681 0.000 0.000 0.000 18.491" Properties=species:S:1:pos:R:3 pbc="T T T"
Sr 0.000 0.000 0.000
Sr 0.000 0.000 4.623
Sr 0.000 0.000 9.245
Sr 0.000 0.000 13.868
Ga 0.000 2.454 2.664
Ga 0.000 2.454 6.582
Ga 2.125 1.227 11.909
Ga 2.125 1.227 15.827
Ge 0.000 2.454 11.334
Ge 0.000 2.454 16.402
Ge 2.125 1.227 2.089
Ge 2.125 1.227 7.157
```

Energy of formation: -1.74 eV per formula unit
Crystal system: hexagonal
Symmetry: P6_3/mmc (194)


The following is a GGA-PBEsol calculation of crystalline SrGaGe at its relaxed geometry, from Alexandria.

The structure in extended XYZ format:
```
3
Lattice="4.244 0.000 0.000 -2.122 3.676 0.000 0.000 0.000 4.626" Properties=species:S:1:pos:R:3 pbc="T T T"
Sr 0.000 0.000 0.000
Ga 2.122 1.225 2.313
Ge 0.000 2.451 2.313
```

Energy of formation: -1.69 eV per formula unit
Crystal system: hexagonal
Symmetry: P-6m2 (187)


The following is a GGA-PBEsol calculation of crystalline SrGaGe2Te at its relaxed geometry, from Alexandria.

The structure in extended XYZ format:
```
5
Lattice="4.898 0.000 0.000 0.000 4.898 0.000 0.000 0.000 5.656" Properties=species:S:1:pos:R:3 pbc="T T T"
Sr 0.000 0.000 0.000
Ga 2.449 2.449 2.828
Ge 0.000 2.449 2.828
Ge 2.449 0.000 2.828
Te 2.449 2.449 0.000
```

Crystal system: tetragonal
Formation energy without anion corrections: -0.078 eV/atom
Symmetry: P4/mmm (123)


The following is a GGA-PBEsol calculation of crystalline GaGe3Te at its relaxed geometry, from Alexandria.

The structure in extended XYZ format:
```
5
Lattice="5.373 0.000 0.000 0.000 5.373 0.000 0.000 0.000 5.373" Properties=species:S:1:pos:R:3 pbc="T T T"
Ga 0.000 0.000 0.000
Ge 0.000 2.686 2.686
Ge 2.686 0.000 2.686
Ge 2.686 2.686 0.000
Te 2.686 2.686 2.686
```

Crystal system: cubic
Formation energy without anion corrections: 1.014 eV/atom
Symmetry: Pm-3m (221)


The following is a GGA-PBEsol calculation of crystalline TlGa2Ge2 at its relaxed geometry, from Alexandria.

The structure in extended XYZ format:
```
10
Lattice="4.610 0.000 0.000 0.000 4.610 0.000 0.000 0.000 9.940" Properties=species:S:1:pos:R:3 pbc="T T T"
Tl 0.000 0.000 0.000
Tl 2.305 2.305 4.970
Ga 0.000 2.305 2.485
Ga 0.000 2.305 7.455
Ga 2.305 0.000 2.485
Ga 2.305 0.000 7.455
Ge 0.000 0.000 3.730
Ge 0.000 0.000 6.209
Ge 2.305 2.305 1.240
Ge 2.305 2.305 8.700
```

Energy of formation: 0.21 eV per formula unit
Crystal system: tetragonal
Symmetry: I4/mmm (139)


The following is a GGA-PBEsol calculation of crystalline GaGeW3 at its relaxed geometry, from Alexandria.

The structure in extended XYZ format:
```
5
Lattice="4.542 0.000 0.000 0.000 4.542 0.000 0.000 0.000 4.542" Properties=species:S:1:pos:R:3 pbc="T T T"
Ga 0.000 0.000 0.000
Ge 2.271 2.271 2.271
W 0.000 0.000 2.271
W 0.000 2.271 0.000
W 2.271 0.000 0.000
```

Energy of formation: 10.10 eV per formula unit
Crystal system: cubic
Symmetry: Pm-3m (221)


The following is a GGA-PBEsol calculation of crystalline ZnGaGe2 at its relaxed geometry, from Alexandria.

The structure in extended XYZ format:
```
16
Lattice="6.529 0.000 0.000 0.000 6.529 0.000 0.000 0.000 6.529" Properties=species:S:1:pos:R:3 pbc="T T T"
Zn 0.000 0.000 0.000
Zn 0.000 3.265 3.265
Zn 3.265 0.000 3.265
Zn 3.265 3.265 0.000
Ga 0.000 0.000 3.265
Ga 0.000 3.265 0.000
Ga 3.265 0.000 0.000
Ga 3.265 3.265 3.265
Ge 1.632 1.632 1.632
Ge 1.632 1.632 4.897
Ge 1.632 4.897 1.632
Ge 1.632 4.897 4.897
Ge 4.897 1.632 1.632
Ge 4.897 1.632 4.897
Ge 4.897 4.897 1.632
Ge 4.897 4.897 4.897
```

Energy of formation: 0.82 eV per formula unit
Crystal system: cubic
Symmetry: Fm-3m (225)


The following is a GGA-PBEsol calculation of crystalline HfGa2H at its relaxed geometry, from Alexandria.

The structure in extended XYZ format:
```
16
Lattice="6.313 0.000 0.000 0.000 6.313 0.000 0.000 0.000 6.313" Properties=species:S:1:pos:R:3 pbc="T T T"
Hf 0.000 0.000 0.000
Hf 0.000 3.157 3.157
Hf 3.157 0.000 3.157
Hf 3.157 3.157 0.000
Ga 1.578 1.578 1.578
Ga 1.578 1.578 4.735
Ga 1.578 4.735 1.578
Ga 1.578 4.735 4.735
Ga 4.735 1.578 1.578
Ga 4.735 1.578 4.735
Ga 4.735 4.735 1.578
Ga 4.735 4.735 4.735
H 0.000 0.000 3.157
H 0.000 3.157 0.000
H 3.157 0.000 0.000
H 3.157 3.157 3.157
```

Crystal system: cubic
Symmetry: Fm-3m (225)


The following is a GGA-PBEsol calculation of crystalline HfGaHRu2 at its relaxed geometry, from Alexandria.

The structure in extended XYZ format:
```
5
Lattice="4.034 0.000 0.000 0.000 4.034 0.000 0.000 0.000 3.808" Properties=species:S:1:pos:R:3 pbc="T T T"
Hf 0.000 0.000 0.000
Ga 2.017 2.017 0.000
H 0.000 0.000 1.904
Ru 0.000 2.017 1.904
Ru 2.017 0.000 1.904
```

Crystal system: tetragonal
Symmetry: P4/mmm (123)


Results for DFT total energy: -4.3589 -6.3977 -5.2719 -6.9396 -3.9816 -4.4118 -4.4791 -4.8006 -4.0925 -4.0916 -4.2704 -3.9519 -3.9350 -3.7946 -3.3230 -3.7948 -7.9193 -3.4942 -4.6301 -7.8587 (in eV/atom, following the order of the records).